This record from Alexandria describes a relaxed RbPm2GaO5 crystal. The functional is PBE-GGA.

Summary:
volume = 14.8 Å³/atom
formation energy without anion corrections = -23.437 eV/f.u.
SG = I4/mcm
crystal system = tetragonal
total energy = -123.45 eV per cell
DOS at the Fermi energy = 0.00 states/eV/f.u.

abc: 7.485 7.485 7.485
angles: 125.71 125.71 80.37
Atoms (fractional coordinates):
Rb1 0.250 0.250 0.000
Rb2 0.750 0.750 0.000
Pm1 0.181 0.681 0.862
Pm2 0.319 0.181 0.500
Pm3 0.681 0.819 0.500
Pm4 0.819 0.319 0.138
Ga1 0.250 0.750 0.500
Ga2 0.750 0.250 0.500
O1 0.000 0.000 0.000
O2 0.003 0.234 0.500
O3 0.234 0.734 0.230
O4 0.266 0.497 0.500
O5 0.497 0.997 0.230
O6 0.500 0.500 0.000
O7 0.503 0.003 0.770
O8 0.734 0.503 0.500
O9 0.766 0.266 0.770
O10 0.997 0.766 0.500